An optimized crystal structure of Cd2SbSe. Source: Alexandria, functional PBE-GGA.

Results
ΔE_f (raw): -0.0018 eV/atom
Magnetization: 0.00 μB/cell
D(E_F): 4.108 states/eV per cell
Electronic total energy: -18.889 eV/cell

```
data_Cd2SbSe
_symmetry_space_group_name_H-M 'C m m m'
_symmetry_Int_Tables_number 65
_symmetry_space_group_name_Hall '-C 2 2'
_cell_length_a 4.231
_cell_length_b 6.076
_cell_length_c 7.993
_cell_angle_alpha 90.00
_cell_angle_beta 90.00
_cell_angle_gamma 90.00
loop_
_atom_site_label
_atom_site_fract_x
_atom_site_fract_y
_atom_site_fract_z
_atom_site_occupancy
Cd1 0.000 0.000 0.227 1
Sb1 0.000 0.500 0.500 1
Se1 0.000 0.500 0.000 1
```



An optimized crystal structure of CaMg2Pb. Source: Alexandria, functional PBE-GGA.

Results
E above lowest polymorph: 136 meV/atom
Magnetization: 0.00 μB/cell
D(E_F): 1.722 states/eV per cell
Electronic total energy: -9.317 eV/cell
Energy of formation: -10.1 kJ per mole of atoms

```
data_CaMg2Pb
_symmetry_space_group_name_H-M 'P 4/m m m'
_symmetry_Int_Tables_number 123
_symmetry_space_group_name_Hall '-P 4 2'
_cell_length_a 3.632
_cell_length_b 3.632
_cell_length_c 8.593
_cell_angle_alpha 90.00
_cell_angle_beta 90.00
_cell_angle_gamma 90.00
loop_
_atom_site_label
_atom_site_fract_x
_atom_site_fract_y
_atom_site_fract_z
_atom_site_occupancy
Ca1 0.000 0.000 0.000 1
Mg1 0.500 0.500 0.273 1
Pb1 0.000 0.000 0.500 1
```



An optimized crystal structure of NbHgS2. Source: Alexandria, functional PBE-GGA.

Results
ΔE_f (raw): 0.1457 eV/atom
Magnetization: 0.46 μB/cell
D(E_F): 2.869 states/eV per cell
Electronic total energy: -18.044 eV/cell

```
data_NbHgS2
_symmetry_space_group_name_H-M 'P 4/m m m'
_symmetry_Int_Tables_number 123
_symmetry_space_group_name_Hall '-P 4 2'
_cell_length_a 4.623
_cell_length_b 4.623
_cell_length_c 3.272
_cell_angle_alpha 90.00
_cell_angle_beta 90.00
_cell_angle_gamma 90.00
loop_
_atom_site_label
_atom_site_fract_x
_atom_site_fract_y
_atom_site_fract_z
_atom_site_occupancy
Nb1 0.000 0.000 0.000 1
Hg1 0.500 0.500 0.000 1
S1 0.000 0.500 0.500 1
```